This record from the Alexandria database describes Sr2Al2InO6 after structural relaxation. The functional is PBE-GGA.

Output
As for the space group: R-3m. The total moment is 0.0 μB per formula unit. Its uncorrected formation energy is -2296 meV per atom.

abc: 6.766 6.766 6.766
angles: 51.05 51.05 51.05
Fractional positions:
Sr  0.200  0.200  0.200
Sr  0.800  0.800  0.800
Al  0.425  0.425  0.425
Al  0.575  0.575  0.575
In  0.000  0.000  0.000
O  0.239  0.753  0.753
O  0.247  0.247  0.761
O  0.247  0.761  0.247
O  0.753  0.239  0.753
O  0.753  0.753  0.239
O  0.761  0.247  0.247